Compound: ScTl2CoF6
Source: Alexandria
Functional: PBE+U
Structure: relaxed

Output
For the calculated total energy, the calculation gives -104.751 eV for the cell shown.

a = 6.056 Å, b = 6.119 Å, c = 8.639 Å
α = 90.00°, β = 90.00°, γ = 90.00°
Space group Immm (No. 71)
Asymmetric unit:
Sc 0.000 0.000 0.000 x2
Tl 0.000 0.500 0.248 x4
Co 0.000 0.000 0.500 x2
F 0.000 0.000 0.237 x4
F 0.239 0.236 0.000 x8